ZrNi2Mo: relaxed, PBE-GGA.

Unit cell a=2.768 b=3.794 c=5.602 alpha=90.00 beta=90.81 gamma=90.00
Fractional positions:
Zr  0.000  0.000  0.000
Ni  0.500  0.500  0.274
Ni  0.500  0.500  0.726
Mo  0.000  0.000  0.500

Results
total moment: 0.0 μB/f.u.
formation energy from the elements: -0.090 eV/atom
uncorrected energy: -7.83 eV per atom